i) Compound: TbUS4
Source: the Alexandria database
Functional: GGA-PBE
Structure: optimized geometry

M_tot: 1.00 μB/f.u.
volume: 181 Å³/cell
calculated density: 4.823 g cm⁻³
SG: C2/m, No. 12

Lattice parameters (Å, degrees): 6.8856 6.8856 6.9018 99.27 99.27 34.10
Element x y z (fractional)
Tb 0.0000 0.0000 0.0000
U 0.5000 0.5000 0.5000
S 0.1062 0.1062 0.3826
S 0.3940 0.3940 0.1495
S 0.6060 0.6060 0.8505
S 0.8938 0.8938 0.6174

ii) Compound: TbUS4
Source: the Alexandria database
Functional: GGA-PBE
Structure: optimized geometry

M_tot: 1.00 μB/f.u.
volume: 161 Å³/cell
calculated density: 5.410 g cm⁻³
SG: Cmmm, No. 65

Lattice parameters (Å, degrees): 6.2650 6.2650 4.1076 90.00 90.00 91.06
Element x y z (fractional)
Tb 0.0000 0.0000 0.0000
U 0.5000 0.5000 0.5000
S 0.2046 0.2046 0.5000
S 0.3131 0.6869 0.0000
S 0.6869 0.3131 0.0000
S 0.7954 0.7954 0.5000

Here is how they stack up, most stable first: i), ii).

i) Compound: TbY2S
Source: the Alexandria database
Functional: GGA-PBE
Structure: optimized geometry

M_tot: 0.71 μB/f.u.
volume: 117 Å³/cell
calculated density: 5.220 g cm⁻³
SG: R-3m, No. 166

Lattice parameters (Å, degrees): 10.2424 10.2424 10.2424 20.68 20.68 20.68
Element x y z (fractional)
Tb 0.0000 0.0000 0.0000
Y 0.1122 0.1122 0.1122
Y 0.8878 0.8878 0.8878
S 0.5000 0.5000 0.5000

ii) Compound: TbY2S
Source: the Alexandria database
Functional: GGA-PBE
Structure: optimized geometry

M_tot: 0.71 μB/f.u.
volume: 112 Å³/cell
calculated density: 5.476 g cm⁻³
SG: R3m, No. 160

Lattice parameters (Å, degrees): 9.4594 9.4594 9.4594 22.83 22.83 22.83
Element x y z (fractional)
Tb 0.0000 0.0000 0.0000
Y 0.5613 0.5613 0.5613
Y 0.7730 0.7730 0.7730
S 0.1671 0.1671 0.1671

Here is how they stack up, most stable first: ii), i).

i) Compound: Tb3YS4
Source: the Alexandria database
Functional: GGA-PBE
Structure: optimized geometry

M_tot: 0.00 μB/f.u.
volume: 171 Å³/cell
calculated density: 6.740 g cm⁻³
SG: Cmmm, No. 65

Lattice parameters (Å, degrees): 6.8163 6.8163 3.8950 90.00 90.00 109.13
Element x y z (fractional)
Tb 0.0000 0.0000 0.0000
Tb 0.0000 0.5000 0.5000
Tb 0.5000 0.0000 0.5000
Y 0.5000 0.5000 0.0000
S 0.2504 0.7496 0.0000
S 0.2507 0.2507 0.5000
S 0.7493 0.7493 0.5000
S 0.7496 0.2504 0.0000

ii) Compound: Tb3YS4
Source: the Alexandria database
Functional: GGA-PBE
Structure: optimized geometry

M_tot: 0.00 μB/f.u.
volume: 171 Å³/cell
calculated density: 6.736 g cm⁻³
SG: Pm-3m, No. 221

Lattice parameters (Å, degrees): 5.5513 5.5513 5.5513 90.00 90.00 90.00
Element x y z (fractional)
Tb 0.0000 0.0000 0.5000
Tb 0.0000 0.5000 0.0000
Tb 0.5000 0.0000 0.0000
Y 0.5000 0.5000 0.5000
S 0.0000 0.0000 0.0000
S 0.0000 0.5000 0.5000
S 0.5000 0.0000 0.5000
S 0.5000 0.5000 0.0000

Here is how they stack up, most stable first: i), ii).

i) Compound: TcS2
Source: the Alexandria database
Functional: GGA-PBE
Structure: optimized geometry

M_tot: 0.00 μB/f.u.
volume: 200 Å³/cell
calculated density: 5.380 g cm⁻³
SG: Pbcn, No. 60

Lattice parameters (Å, degrees): 5.2229 6.6743 5.7418 90.00 90.00 90.00
Element x y z (fractional)
Tc 0.0000 0.1113 0.2500
Tc 0.0000 0.8887 0.7500
Tc 0.5000 0.3887 0.7500
Tc 0.5000 0.6113 0.2500
S 0.2164 0.3811 0.0688
S 0.2164 0.6189 0.5688
S 0.2836 0.1189 0.5688
S 0.2836 0.8811 0.0688
S 0.7164 0.1189 0.9312
S 0.7164 0.8811 0.4312
S 0.7836 0.3811 0.4312
S 0.7836 0.6189 0.9312

ii) Compound: TcS2
Source: the Alexandria database
Functional: GGA-PBE
Structure: optimized geometry

M_tot: 0.00 μB/f.u.
volume: 249 Å³/cell
calculated density: 4.322 g cm⁻³
SG: P-1, No. 2

Lattice parameters (Å, degrees): 6.4075 6.5140 7.4190 66.74 77.61 61.20
Element x y z (fractional)
Tc 0.0112 0.2854 0.0022
Tc 0.4378 0.3096 0.0079
Tc 0.5622 0.6904 0.9921
Tc 0.9888 0.7146 0.9978
S 0.1360 0.3308 0.2535
S 0.1768 0.8300 0.1732
S 0.3262 0.7008 0.7712
S 0.3600 0.1515 0.8037
S 0.6400 0.8485 0.1963
S 0.6738 0.2992 0.2288
S 0.8232 0.1700 0.8268
S 0.8640 0.6692 0.7465

Here is how they stack up, most stable first: ii), i).

i) Compound: TcTe2S2
Source: the Alexandria database
Functional: GGA-PBE
Structure: optimized geometry

M_tot: 2.70 μB/f.u.
volume: 253 Å³/cell
calculated density: 5.484 g cm⁻³
SG: P4/mbm, No. 127

Lattice parameters (Å, degrees): 7.2528 7.2528 4.8049 90.00 90.00 90.00
Element x y z (fractional)
Tc 0.0000 0.0000 0.0000
Tc 0.5000 0.5000 0.0000
Te 0.1598 0.3402 0.0000
Te 0.3402 0.8402 0.0000
Te 0.6597 0.1598 0.0000
Te 0.8402 0.6597 0.0000
S 0.2483 0.2517 0.5000
S 0.2517 0.7517 0.5000
S 0.7483 0.2483 0.5000
S 0.7517 0.7483 0.5000

ii) Compound: TcTe2S2
Source: the Alexandria database
Functional: GGA-PBE
Structure: optimized geometry

M_tot: 0.00 μB/f.u.
volume: 119 Å³/cell
calculated density: 5.817 g cm⁻³
SG: I4/mmm, No. 139

Lattice parameters (Å, degrees): 11.2507 11.2507 11.2507 163.19 163.19 23.87
Element x y z (fractional)
Tc 0.0000 0.0000 0.0000
Te 0.4242 0.4242 0.0000
Te 0.5758 0.5758 0.0000
S 0.2500 0.7500 0.5000
S 0.7500 0.2500 0.5000

Here is how they stack up, most stable first: ii), i).

i) Compound: Tc3TeS
Source: the Alexandria database
Functional: GGA-PBE
Structure: optimized geometry

M_tot: 0.79 μB/f.u.
volume: 88 Å³/cell
calculated density: 8.595 g cm⁻³
SG: Pm-3m, No. 221

Lattice parameters (Å, degrees): 4.4421 4.4421 4.4421 90.00 90.00 90.00
Element x y z (fractional)
Tc 0.0000 0.0000 0.5000
Tc 0.0000 0.5000 0.0000
Tc 0.5000 0.0000 0.0000
Te 0.5000 0.5000 0.5000
S 0.0000 0.0000 0.0000

ii) Compound: Tc3TeS
Source: the Alexandria database
Functional: GGA-PBE
Structure: optimized geometry

M_tot: 3.25 μB/f.u.
volume: 117 Å³/cell
calculated density: 6.463 g cm⁻³
SG: Pm-3m, No. 221

Lattice parameters (Å, degrees): 4.8848 4.8848 4.8848 90.00 90.00 90.00
Element x y z (fractional)
Tc 0.0000 0.0000 0.5000
Tc 0.0000 0.5000 0.0000
Tc 0.5000 0.0000 0.0000
Te 0.0000 0.0000 0.0000
S 0.5000 0.5000 0.5000

Here is how they stack up, most stable first: i), ii).

i) Compound: Th2TcS
Source: the Alexandria database
Functional: GGA-PBE
Structure: optimized geometry

M_tot: 0.00 μB/f.u.
volume: 101 Å³/cell
calculated density: 9.796 g cm⁻³
SG: R-3m, No. 166

Lattice parameters (Å, degrees): 9.3493 9.3493 9.3493 22.02 22.02 22.02
Element x y z (fractional)
Th 0.0926 0.0926 0.0926
Th 0.9074 0.9074 0.9074
Tc 0.0000 0.0000 0.0000
S 0.5000 0.5000 0.5000

ii) Compound: Th2TcS
Source: the Alexandria database
Functional: GGA-PBE
Structure: optimized geometry

M_tot: 0.00 μB/f.u.
volume: 190 Å³/cell
calculated density: 10.406 g cm⁻³
SG: Cmcm, No. 63

Lattice parameters (Å, degrees): 11.9577 11.9577 4.0135 90.00 90.00 160.71
Element x y z (fractional)
Th 0.0669 0.9331 0.7500
Th 0.3149 0.6851 0.7500
Th 0.6851 0.3149 0.2500
Th 0.9331 0.0669 0.2500
Tc 0.4574 0.5426 0.7500
Tc 0.5426 0.4574 0.2500
S 0.1908 0.8092 0.7500
S 0.8092 0.1908 0.2500

Here is how they stack up, most stable first: ii), i).

i) Compound: TiTcS2
Source: the Alexandria database
Functional: GGA-PBE
Structure: optimized geometry

M_tot: 0.00 μB/f.u.
volume: 55 Å³/cell
calculated density: 6.364 g cm⁻³
SG: Fm-3m, No. 225

Lattice parameters (Å, degrees): 4.2632 4.2632 4.2632 60.00 60.00 60.00
Element x y z (fractional)
Ti 0.0000 0.0000 0.0000
Tc 0.5000 0.5000 0.5000
S 0.2500 0.2500 0.2500
S 0.7500 0.7500 0.7500

ii) Compound: TiTcS2
Source: the Alexandria database
Functional: GGA-PBE
Structure: optimized geometry

M_tot: 0.00 μB/f.u.
volume: 143 Å³/cell
calculated density: 4.892 g cm⁻³
SG: I-42d, No. 122

Lattice parameters (Å, degrees): 7.3483 7.3483 7.3483 143.04 143.04 53.27
Element x y z (fractional)
Ti 0.0000 0.0000 0.0000
Ti 0.7500 0.2500 0.5000
Tc 0.2500 0.7500 0.5000
Tc 0.5000 0.5000 0.0000
S 0.1359 0.6250 0.0109
S 0.3750 0.3859 0.5109
S 0.6141 0.1250 0.9891
S 0.8750 0.8641 0.4891

Here is how they stack up, most stable first: ii), i).